a | TaAsF2 (PBE-GGA, optimized geometry); DOS at the Fermi energy = 0.43 states/eV/cell; spin magnetization = 0.0 μB/f.u.; symmetry = Fm-3m
1.0
0.000 2.970 2.970
2.970 0.000 2.970
2.970 2.970 0.000
Ta As F
1 1 2
Direct
0.000 0.000 0.000
0.500 0.500 0.500
0.250 0.250 0.250
0.750 0.750 0.750

b | TaAsF2 (PBE-GGA, optimized geometry); DOS at the Fermi energy = 4.44 states/eV/cell; spin magnetization = 0.0 μB/f.u.; symmetry = I-42d
1.0
-1.923 1.923 7.672
1.923 -1.923 7.672
1.923 1.923 -7.672
Ta As F
2 2 4
Direct
0.000 0.000 0.000
0.750 0.250 0.500
0.250 0.750 0.500
0.500 0.500 0.000
0.028 0.625 0.903
0.375 0.278 0.403
0.722 0.125 0.097
0.875 0.972 0.597

c | TaAsF2 (PBE-GGA, optimized geometry); DOS at the Fermi energy = 3.80 states/eV/cell; spin magnetization = 0.6 μB/f.u.; symmetry = R-3m
1.0
1.410 0.814 10.673
-1.410 0.814 10.673
0.000 -1.628 10.673
Ta As F
1 1 2
Direct
0.000 0.000 0.000
0.500 0.500 0.500
0.381 0.381 0.381
0.619 0.619 0.619

Which is the most stable structure? c is the most stable.